[1]
Material: RbSb4Pb12
Method: DFT, PBE
State: optimized geometry

Values from the calculation:
Raw formation energy = 0.07 eV/atom
DOS at the Fermi energy = 5.51 states/eV per cell
DFT total energy = -3.58 eV/atom

a = 9.351 Å, b = 9.351 Å, c = 9.351 Å
α = 109.47°, β = 109.47°, γ = 109.47°
Fractional coordinates of all 17 atoms:
Rb  0.000  0.000  0.000
Sb  0.000  0.000  0.500
Sb  0.000  0.500  0.000
Sb  0.500  0.000  0.000
Sb  0.500  0.500  0.500
Pb  0.150  0.354  0.504
Pb  0.150  0.646  0.796
Pb  0.204  0.850  0.354
Pb  0.354  0.204  0.850
Pb  0.354  0.504  0.150
Pb  0.496  0.850  0.646
Pb  0.504  0.150  0.354
Pb  0.646  0.496  0.850
Pb  0.646  0.796  0.150
Pb  0.796  0.150  0.646
Pb  0.850  0.354  0.204
Pb  0.850  0.646  0.496

---

[2]
Material: Rb2SbPb
Method: DFT, PBE
State: optimized geometry

Values from the calculation:
Raw formation energy = -0.14 eV/atom
DOS at the Fermi energy = 2.77 states/eV per cell
Offset from the most stable computed form = 0.0 kJ/mol of atoms
DFT total energy = -2.58 eV/atom

a = 7.092 Å, b = 7.092 Å, c = 6.030 Å
α = 114.31°, β = 114.31°, γ = 50.09°
Fractional coordinates of all 4 atoms:
Rb  0.000  0.000  0.000
Rb  0.638  0.638  0.632
Sb  0.318  0.318  0.021
Pb  0.319  0.319  0.519

---

[3]
Material: RbScSb2Pb
Method: DFT, PBE
State: optimized geometry

Values from the calculation:
Raw formation energy = 0.35 eV/atom
DOS at the Fermi energy = 4.57 states/eV per cell
DFT total energy = -3.50 eV/atom

a = 6.044 Å, b = 6.044 Å, c = 5.507 Å
α = 90.00°, β = 90.00°, γ = 90.00°
Fractional coordinates of all 5 atoms:
Rb  0.000  0.000  0.000
Sc  0.500  0.500  0.000
Sb  0.000  0.500  0.500
Sb  0.500  0.000  0.500
Pb  0.500  0.500  0.500

---

[4]
Material: Rb3SbPb2Se6
Method: DFT, PBE
State: optimized geometry

Values from the calculation:
Raw formation energy = -0.67 eV/atom
DOS at the Fermi energy = 4.18 states/eV per cell
DFT total energy = -3.62 eV/atom

a = 7.621 Å, b = 7.621 Å, c = 8.356 Å
α = 98.88°, β = 98.88°, γ = 119.84°
Fractional coordinates of all 12 atoms:
Rb  0.000  0.000  0.000
Rb  0.324  0.676  0.000
Rb  0.676  0.324  0.000
Sb  0.500  0.500  0.500
Pb  0.165  0.835  0.500
Pb  0.835  0.165  0.500
Se  0.138  0.435  0.303
Se  0.275  0.275  0.700
Se  0.435  0.138  0.303
Se  0.565  0.862  0.697
Se  0.725  0.725  0.300
Se  0.862  0.565  0.697

---

[5]
Material: RbSnSbPb
Method: DFT, PBE
State: optimized geometry

Values from the calculation:
Raw formation energy = -0.03 eV/atom
DOS at the Fermi energy = 1.77 states/eV per cell
DFT total energy = -3.23 eV/atom

a = 7.502 Å, b = 7.502 Å, c = 7.502 Å
α = 40.82°, β = 40.82°, γ = 40.82°
Fractional coordinates of all 4 atoms:
Rb  0.000  0.000  0.000
Sn  0.180  0.180  0.180
Sb  0.801  0.801  0.801
Pb  0.552  0.552  0.552

---

[6]
Material: RbSnSb2Pb
Method: DFT, PBE
State: optimized geometry

Values from the calculation:
Raw formation energy = -0.15 eV/atom
DOS at the Fermi energy = 2.79 states/eV per cell
DFT total energy = -3.53 eV/atom

a = 9.830 Å, b = 9.830 Å, c = 10.327 Å
α = 105.26°, β = 105.26°, γ = 27.96°
Fractional coordinates of all 10 atoms:
Rb  0.170  0.170  0.145
Rb  0.830  0.830  0.855
Sn  0.423  0.423  0.344
Sn  0.577  0.577  0.656
Sb  0.160  0.160  0.784
Sb  0.417  0.417  0.630
Sb  0.583  0.583  0.370
Sb  0.840  0.840  0.216
Pb  0.184  0.184  0.507
Pb  0.816  0.816  0.493